(1)
InGaSeBr2: relaxed, GGA-PBE.

Cell and atoms, written as CIF:
```
data_InGaSeBr2
_chemical_formula_sum 'In1 Ga1 Se1 Br2'
_cell_length_a 5.357
_cell_length_b 5.357
_cell_length_c 5.103
_cell_angle_alpha 90.00
_cell_angle_beta 90.00
_cell_angle_gamma 90.00
_symmetry_space_group_name_H-M 'P 1'
_symmetry_Int_Tables_number 1
_symmetry_space_group_name_Hall 'P 1'
loop_
_atom_site_label
_atom_site_fract_x
_atom_site_fract_y
_atom_site_fract_z
_atom_site_occupancy
In1 0.000 0.000 0.000 1
Ga1 0.500 0.500 0.500 1
Se1 0.500 0.500 0.000 1
Br1 0.000 0.500 0.500 1
Br2 0.500 0.000 0.500 1
```

Space group   No. 123
Uncorrected formation energy   -0.385 eV/atom
Crystal system   tetragonal
Relative energy among the computed polymorphs   0.000 eV/atom

(2)
Er2TlPb3: relaxed, GGA-PBE.

Cell and atoms, written as CIF:
```
data_Er2TlPb3
_chemical_formula_sum 'Er4 Tl2 Pb6'
_cell_length_a 9.417
_cell_length_b 9.417
_cell_length_c 4.608
_cell_angle_alpha 90.00
_cell_angle_beta 90.00
_cell_angle_gamma 67.63
_symmetry_space_group_name_H-M 'P 1'
_symmetry_Int_Tables_number 1
_symmetry_space_group_name_Hall 'P 1'
loop_
_atom_site_label
_atom_site_fract_x
_atom_site_fract_y
_atom_site_fract_z
_atom_site_occupancy
Er1 0.002 0.269 0.250 1
Er2 0.269 0.002 0.750 1
Er3 0.731 0.998 0.250 1
Er4 0.998 0.731 0.750 1
Tl1 0.117 0.883 0.250 1
Tl2 0.883 0.117 0.750 1
Pb1 0.179 0.383 0.750 1
Pb2 0.383 0.179 0.250 1
Pb3 0.388 0.612 0.750 1
Pb4 0.612 0.388 0.250 1
Pb5 0.617 0.821 0.750 1
Pb6 0.821 0.617 0.250 1
```

Space group   No. 63
Crystal system   orthorhombic
ΔE_f   -88.5 kJ/mol of formula units
Relative energy among the computed polymorphs   0.163 eV/atom

(3)
ErBiPd2: relaxed, GGA-PBE.

Cell and atoms, written as CIF:
```
data_ErBiPd2
_chemical_formula_sum 'Er1 Bi1 Pd2'
_cell_length_a 4.611
_cell_length_b 4.611
_cell_length_c 3.928
_cell_angle_alpha 90.00
_cell_angle_beta 90.00
_cell_angle_gamma 90.00
_symmetry_space_group_name_H-M 'P 1'
_symmetry_Int_Tables_number 1
_symmetry_space_group_name_Hall 'P 1'
loop_
_atom_site_label
_atom_site_fract_x
_atom_site_fract_y
_atom_site_fract_z
_atom_site_occupancy
Er1 0.000 0.000 0.000 1
Bi1 0.500 0.500 0.000 1
Pd1 0.000 0.500 0.500 1
Pd2 0.500 0.000 0.500 1
```

Space group   No. 123
Crystal system   tetragonal
ΔE_f   -254.0 kJ/mol of formula units

(4)
DyV2Ru: relaxed, GGA-PBE.

Cell and atoms, written as CIF:
```
data_DyV2Ru
_chemical_formula_sum 'Dy3 V6 Ru3'
_cell_length_a 4.496
_cell_length_b 4.496
_cell_length_c 11.038
_cell_angle_alpha 90.00
_cell_angle_beta 90.00
_cell_angle_gamma 120.00
_symmetry_space_group_name_H-M 'P 1'
_symmetry_Int_Tables_number 1
_symmetry_space_group_name_Hall 'P 1'
loop_
_atom_site_label
_atom_site_fract_x
_atom_site_fract_y
_atom_site_fract_z
_atom_site_occupancy
Dy1 0.000 0.000 0.000 1
Dy2 0.333 0.667 0.667 1
Dy3 0.667 0.333 0.333 1
V1 0.000 0.000 0.250 1
V2 0.000 0.000 0.750 1
V3 0.333 0.667 0.417 1
V4 0.333 0.667 0.916 1
V5 0.667 0.333 0.084 1
V6 0.667 0.333 0.583 1
Ru1 0.000 0.000 0.500 1
Ru2 0.333 0.667 0.167 1
Ru3 0.667 0.333 0.833 1
```

Space group   No. 166
Crystal system   trigonal
ΔE_f   88.3 kJ/mol of formula units

(5)
CaH8Pd6: relaxed, GGA-PBE.

Cell and atoms, written as CIF:
```
data_CaH8Pd6
_chemical_formula_sum 'Ca1 H8 Pd6'
_cell_length_a 6.166
_cell_length_b 6.166
_cell_length_c 6.166
_cell_angle_alpha 55.67
_cell_angle_beta 55.67
_cell_angle_gamma 55.67
_symmetry_space_group_name_H-M 'P 1'
_symmetry_Int_Tables_number 1
_symmetry_space_group_name_Hall 'P 1'
loop_
_atom_site_label
_atom_site_fract_x
_atom_site_fract_y
_atom_site_fract_z
_atom_site_occupancy
Ca1 0.000 0.000 0.000 1
H1 0.189 0.716 0.716 1
H2 0.284 0.284 0.811 1
H3 0.284 0.811 0.284 1
H4 0.308 0.308 0.308 1
H5 0.692 0.692 0.692 1
H6 0.716 0.189 0.716 1
H7 0.716 0.716 0.189 1
H8 0.811 0.284 0.284 1
Pd1 0.078 0.594 0.594 1
Pd2 0.406 0.406 0.922 1
Pd3 0.406 0.922 0.406 1
Pd4 0.594 0.078 0.594 1
Pd5 0.594 0.594 0.078 1
Pd6 0.922 0.406 0.406 1
```

Space group   No. 166
Energy   -0.154 hartree per atom
Crystal system   trigonal

(6)
Mo2Os2S: relaxed, GGA-PBE.

Cell and atoms, written as CIF:
```
data_Mo2Os2S
_chemical_formula_sum 'Mo4 Os4 S2'
_cell_length_a 7.555
_cell_length_b 7.555
_cell_length_c 2.876
_cell_angle_alpha 90.00
_cell_angle_beta 90.00
_cell_angle_gamma 90.00
_symmetry_space_group_name_H-M 'P 1'
_symmetry_Int_Tables_number 1
_symmetry_space_group_name_Hall 'P 1'
loop_
_atom_site_label
_atom_site_fract_x
_atom_site_fract_y
_atom_site_fract_z
_atom_site_occupancy
Mo1 0.156 0.344 0.000 1
Mo2 0.344 0.844 0.000 1
Mo3 0.656 0.156 0.000 1
Mo4 0.844 0.656 0.000 1
Os1 0.133 0.633 0.500 1
Os2 0.367 0.133 0.500 1
Os3 0.633 0.867 0.500 1
Os4 0.867 0.367 0.500 1
S1 0.000 0.000 0.000 1
S2 0.500 0.500 0.000 1
```

Space group   No. 127
Uncorrected formation energy   0.436 eV/atom
Crystal system   tetragonal
Relative energy among the computed polymorphs   0.000 eV/atom

(7)
KCaCo2: relaxed, GGA-PBE.

Cell and atoms, written as CIF:
```
data_KCaCo2
_chemical_formula_sum 'K4 Ca4 Co8'
_cell_length_a 5.788
_cell_length_b 7.733
_cell_length_c 7.995
_cell_angle_alpha 90.00
_cell_angle_beta 90.00
_cell_angle_gamma 90.00
_symmetry_space_group_name_H-M 'P 1'
_symmetry_Int_Tables_number 1
_symmetry_space_group_name_Hall 'P 1'
loop_
_atom_site_label
_atom_site_fract_x
_atom_site_fract_y
_atom_site_fract_z
_atom_site_occupancy
K1 0.000 0.000 0.000 1
K2 0.000 0.500 0.500 1
K3 0.500 0.000 0.500 1
K4 0.500 0.500 0.000 1
Ca1 0.000 0.000 0.500 1
Ca2 0.000 0.500 0.000 1
Ca3 0.500 0.000 0.000 1
Ca4 0.500 0.500 0.500 1
Co1 0.250 0.250 0.250 1
Co2 0.250 0.250 0.750 1
Co3 0.250 0.750 0.250 1
Co4 0.250 0.750 0.750 1
Co5 0.750 0.250 0.250 1
Co6 0.750 0.250 0.750 1
Co7 0.750 0.750 0.250 1
Co8 0.750 0.750 0.750 1
```

Space group   No. 69
Crystal system   orthorhombic
ΔE_f   402.4 kJ/mol of formula units
Relative energy among the computed polymorphs   0.719 eV/atom

(8)
Tb3Sm6DyTm2: relaxed, GGA-PBE.

Cell and atoms, written as CIF:
```
data_Tb3Sm6DyTm2
_chemical_formula_sum 'Tb3 Sm6 Dy1 Tm2'
_cell_length_a 6.208
_cell_length_b 6.208
_cell_length_c 11.809
_cell_angle_alpha 95.01
_cell_angle_beta 95.01
_cell_angle_gamma 119.98
_symmetry_space_group_name_H-M 'P 1'
_symmetry_Int_Tables_number 1
_symmetry_space_group_name_Hall 'P 1'
loop_
_atom_site_label
_atom_site_fract_x
_atom_site_fract_y
_atom_site_fract_z
_atom_site_occupancy
Tb1 0.000 0.000 0.000 1
Tb2 0.333 0.667 0.000 1
Tb3 0.667 0.333 0.000 1
Sm1 0.083 0.417 0.252 1
Sm2 0.250 0.250 0.748 1
Sm3 0.417 0.083 0.252 1
Sm4 0.583 0.917 0.748 1
Sm5 0.750 0.750 0.252 1
Sm6 0.917 0.583 0.748 1
Dy1 0.500 0.500 0.500 1
Tm1 0.167 0.833 0.500 1
Tm2 0.833 0.167 0.500 1
```

Space group   No. 12
Crystal system   monoclinic
ΔE_f   16.9 kJ/mol of formula units